No. 1
Density functional theory data (GGA-PBE) for a geometry-optimized LaMg4Au5 structure.

Unit cell a=3.4186 b=3.4186 c=16.8252 alpha=90.00 beta=90.00 gamma=90.00
Space group P4/mmm (No. 123)
Inequivalent atoms, fractional coordinates:
La1 0.0000 0.0000 0.0000
Mg1 0.0000 0.0000 0.2195
Mg2 0.0000 0.0000 0.4070
Au1 0.5000 0.5000 0.1293
Au2 0.5000 0.5000 0.3143
Au3 0.5000 0.5000 0.5000

## Properties
Magnetic moment ... 0.0 μB/f.u.
ΔE_f ... -0.631 eV/atom

=====

No. 2
Density functional theory data (GGA-PBE) for a geometry-optimized La4MgAu structure.

Unit cell a=9.2481 b=9.2481 c=10.8953 alpha=90.00 beta=90.00 gamma=90.00
Space group I4_1md (No. 109)
Inequivalent atoms, fractional coordinates:
La1 0.0000 0.3258 0.0000
La2 0.0000 0.3376 0.4735
Mg1 0.0000 0.0000 0.4894
Au1 0.0000 0.0000 0.9819

## Properties
Magnetic moment ... 0.0 μB/f.u.
Energy above the most stable polymorph in this dataset ... 0.000 eV/atom
ΔE_f ... 0.083 eV/atom